(1)
Density functional theory data (PBE) for a relaxed structure of TlF.

abc: 11.0638 8.6691 7.8645
angles: 90.00 90.00 90.00
Sites, in units of the cell vectors:
F 0.0000 0.1870 0.5000
F 0.2500 0.5630 0.7500
F 0.0000 0.3130 0.0000
F 0.7500 0.5630 0.2500
F 0.5000 0.8130 0.0000
F 0.2500 0.0630 0.2500
F 0.5000 0.6870 0.5000
F 0.0000 0.6870 0.0000
F 0.5000 0.3130 0.5000
F 0.2500 0.9370 0.7500
F 0.2500 0.4370 0.2500
F 0.5000 0.1870 0.0000
F 0.7500 0.9370 0.2500
F 0.7500 0.4370 0.7500
F 0.0000 0.8130 0.5000
F 0.7500 0.0630 0.7500
Tl 0.0000 0.0000 0.7529
Tl 0.0000 0.0000 0.2471
Tl 0.5000 0.0000 0.2529
Tl 0.2500 0.2500 0.9971
Tl 0.7500 0.2500 0.0029
Tl 0.5000 0.0000 0.7471
Tl 0.2500 0.7500 0.0029
Tl 0.2500 0.2500 0.5029
Tl 0.7500 0.7500 0.5029
Tl 0.5000 0.5000 0.7529
Tl 0.5000 0.5000 0.2471
Tl 0.0000 0.5000 0.2529
Tl 0.7500 0.7500 0.9971
Tl 0.2500 0.7500 0.4971
Tl 0.0000 0.5000 0.7471
Tl 0.7500 0.2500 0.4971

space group = Fddd
ΔE to the lowest computed polymorph = 25 meV per atom
energy relative to the elements, uncorrected = -1.7315 eV/atom

(2)
Density functional theory data (PBE) for a relaxed structure of SnHOs2.

abc: 4.7535 4.8663 5.2318
angles: 76.42 76.84 87.13
Sites, in units of the cell vectors:
Os 0.0357 0.5210 0.3106
Os 0.3904 0.8356 0.8812
Os 0.1957 0.3936 0.7981
Os 0.5410 0.6977 0.3813
Sn 0.6317 0.2627 0.0894
Sn 0.9482 0.9619 0.5972
H 0.4582 0.1818 0.6552
H 0.0589 0.8726 0.0933

space group = P1
ΔE to the lowest computed polymorph = 44 meV per atom

(3)
Density functional theory data (PBE) for a relaxed structure of Y6PbSe4.

abc: 4.1692 6.9724 20.7285
angles: 90.00 90.00 107.40
Sites, in units of the cell vectors:
Y 0.0462 0.0923 0.3366
Y 0.2304 0.4608 0.9099
Y 0.6592 0.3184 0.7500
Y 0.0462 0.0923 0.1634
Y 0.9538 0.9077 0.6634
Y 0.2304 0.4608 0.5901
Y 0.7696 0.5392 0.4099
Y 0.5000 0.0000 0.5000
Y 0.5000 0.0000 0.0000
Y 0.9538 0.9077 0.8366
Y 0.3408 0.6816 0.2500
Y 0.7696 0.5392 0.0901
Se 0.1394 0.2789 0.4617
Se 0.5904 0.1808 0.8770
Se 0.4096 0.8192 0.1230
Se 0.4096 0.8192 0.3770
Se 0.8606 0.7211 0.5383
Se 0.8606 0.7211 0.9617
Se 0.1394 0.2789 0.0383
Se 0.5904 0.1808 0.6230
Pb 0.3328 0.6657 0.7500
Pb 0.6672 0.3343 0.2500

space group = Cmcm
energy relative to the elements, uncorrected = -1.4148 eV/atom

(4)
Density functional theory data (PBE) for a relaxed structure of KNi2Hg.

abc: 4.4213 4.4213 6.3197
angles: 70.05 70.05 60.03
Sites, in units of the cell vectors:
Ni 0.4250 0.4250 0.7244
Ni 0.0750 0.0750 0.7756
K 0.2500 0.2500 0.2500
Hg 0.7500 0.7500 0.7500

space group = C2/m
formation energy = 0.218 eV per atom

(5)
Density functional theory data (PBE) for a relaxed structure of TaMoRu2.

abc: 4.4527 4.4527 4.4527
angles: 60.00 60.00 60.00
Sites, in units of the cell vectors:
Mo 0.0000 0.0000 0.0000
Ta 0.5000 0.5000 0.5000
Ru 0.2500 0.2500 0.2500
Ru 0.7500 0.7500 0.7500

space group = Fm-3m
ΔE to the lowest computed polymorph = 120 meV per atom
formation energy = 0.044 eV per atom

(6)
Density functional theory data (PBE) for a relaxed structure of RbMgSn.

abc: 4.4396 5.2807 5.2807
angles: 120.00 90.00 90.00
Sites, in units of the cell vectors:
Sn 0.1667 0.0000 0.0000
Mg 0.1667 0.3333 0.6667
Rb 0.6667 0.6667 0.3333

space group = P-6m2
ΔE to the lowest computed polymorph = 150 meV per atom
formation energy = -0.037 eV per atom

(7)
Density functional theory data (PBE) for a relaxed structure of KFeOs2.

abc: 2.6337 3.5476 8.1482
angles: 90.00 90.00 90.00
Sites, in units of the cell vectors:
K 0.5000 0.5000 0.7500
Os 0.0000 0.0000 0.4063
Os 0.0000 0.0000 0.0937
Fe 0.5000 0.5000 0.2500

space group = Pmmm
ΔE to the lowest computed polymorph = 170 meV per atom
formation energy = 0.930 eV per atom

(8)
Density functional theory data (PBE) for a relaxed structure of TbNd4Ho3S8.

abc: 7.8980 8.0417 7.8977
angles: 119.41 120.00 90.00
Sites, in units of the cell vectors:
S 0.7548 0.2674 0.5095
S 0.7438 0.7313 0.4875
S 0.2452 0.7326 0.9874
S 0.2452 0.7326 0.4905
S 0.2562 0.2687 0.5125
S 0.7421 0.7326 0.9874
S 0.7548 0.2674 0.0126
S 0.2579 0.2674 0.0126
Nd 0.5000 0.0000 0.5000
Nd 0.0000 0.0000 0.5000
Nd 0.0000 0.0000 0.0000
Nd 0.5000 0.0000 0.0000
Ho 0.5000 0.5000 0.0000
Ho 0.5000 0.5000 0.5000
Ho 0.0000 0.5000 0.5000
Tb 0.0000 0.5000 0.0000

space group = R-3m
energy relative to the elements, uncorrected = -2.0075 eV/atom

| no. | spin magnetization (μB per formula unit) | volume (Å³/cell) | D(E_F) (states/eV per cell) |
| --- | --- | --- | --- |
| 1 | 0.00 | 754 | 0.0 |
| 2 | 0.00 | 115 | 3.2 |
| 3 | 0.00 | 575 | 19.8 |
| 4 | 0.16 | 98 | 5.0 |
| 5 | 1.51 | 62 | 6.7 |
| 6 | 0.00 | 107 | 1.6 |
| 7 | 1.83 | 76 | 4.1 |
| 8 | 0.00 | 358 | 7.2 |